Entry from Alexandria via LeMat-Bulk: K3FeO3 after structural relaxation (PBE with a Hubbard U).

total DFT energy (no corrections)	-32.3	eV per cell
V	22.16	A^3/atom
symmetry	R3m (160)
E above lowest polymorph	0.217	eV/atom
size of the total moment	3.0	Bohr magnetons per cell

Unit cell a=4.5413 b=6.4600 c=6.4600 alpha=114.69 beta=103.55 gamma=103.55
With the nearest neighbours (Å) after each atom.
Element x y z (fractional)
O: 0.4444 0.0000 0.2878  1 Fe 1.81
O: 0.1566 0.7122 0.7122  1 Fe 1.81
O: 0.4444 0.2878 0.0000  1 Fe 1.81
K: 0.0218 0.0000 0.5009  4 O 2.61-2.82
K: 0.0218 0.5009 0.0000  4 O 2.61-2.82
K: 0.5209 0.4991 0.4991  4 O 2.61-2.82
Fe: 0.3651 0.0000 0.0000  3 O 1.81